[1]
Computed, not measured: a geometry-optimized BaNdPd4 structure at the PBE-GGA level of DFT.

abc: 5.630 5.630 5.630
angles: 60.00 60.00 60.00
Atoms (fractional coordinates):
Pd (0.626, 0.626, 0.626)
Pd (0.626, 0.626, 0.123)
Pd (0.626, 0.123, 0.626)
Ba (0.250, 0.250, 0.250)
Pd (0.123, 0.626, 0.626)
Nd (0.000, 0.000, 0.000)

Results
Formation enthalpy at 0 K   -3.6 eV/f.u.
Energy   -5.18 eV per atom
DOS at the Fermi energy   0.8872 states/eV/atom
Symmetry   F-43m
Theoretical density   9.305 g/cm3
Magnetic moment   0.00 μB per atom

***

[2]
Computed, not measured: a geometry-optimized TiV2Cu2 structure at the PBE-GGA level of DFT.

abc: 7.438 7.438 2.510
angles: 90.00 90.00 90.00
Atoms (fractional coordinates):
V (0.614, 0.114, 0.000)
V (0.886, 0.614, 0.000)
V (0.386, 0.886, 0.000)
Ti (0.000, 0.000, 0.000)
Ti (0.500, 0.500, 0.000)
Cu (0.819, 0.319, 0.500)
Cu (0.319, 0.181, 0.500)
V (0.114, 0.386, 0.000)
Cu (0.681, 0.819, 0.500)
Cu (0.181, 0.681, 0.500)

Results
Formation enthalpy at 0 K   1.1 eV/f.u.
Energy   -6.65 eV per atom
DOS at the Fermi energy   1.1800 states/eV/atom
Symmetry   P4/mbm
Excess energy over the best structure of this formula in the dataset   0.00 eV/f.u.
Theoretical density   6.621 g/cm3
Magnetic moment   0.00 μB per atom

***

The highest energy belongs to which entry? BaNdPd4